# 1
Material: RbHCO2
Method: DFT, GGA-PBEsol
State: optimized geometry

abc: 4.608 7.329 9.132
angles: 90.00 90.00 90.00
Fractional coordinates of all 20 atoms:
C1 0.616 0.250 0.051
C2 0.384 0.750 0.949
C3 0.384 0.250 0.551
C4 0.616 0.750 0.449
H1 0.431 0.250 0.971
H2 0.569 0.750 0.029
H3 0.569 0.250 0.471
H4 0.431 0.750 0.529
O1 0.551 0.250 0.186
O2 0.449 0.750 0.814
O3 0.449 0.250 0.686
O4 0.551 0.750 0.314
O5 0.871 0.250 0.999
O6 0.129 0.750 0.001
O7 0.129 0.250 0.499
O8 0.871 0.750 0.501
Rb1 0.064 0.000 0.250
Rb2 0.936 0.500 0.750
Rb3 0.936 0.000 0.750
Rb4 0.064 0.500 0.250

Values from the calculation:
Size of the total moment in μB/atom: 0.000
Total energy in eV/f.u.: -30.83
Mass density in g/cm³: 2.8



# 2
Material: SbHC2O5
Method: DFT, GGA-PBEsol
State: optimized geometry

abc: 5.800 6.221 11.288
angles: 90.00 90.00 90.00
Fractional coordinates of all 36 atoms:
Sb1 0.062 0.013 0.496
Sb2 0.562 0.487 0.504
Sb3 0.438 0.987 0.996
Sb4 0.938 0.513 0.004
H1 0.602 0.092 0.455
H2 0.102 0.408 0.545
H3 0.898 0.908 0.955
H4 0.398 0.592 0.045
C1 0.146 0.065 0.226
C2 0.646 0.435 0.774
C3 0.354 0.935 0.726
C4 0.854 0.565 0.274
C5 0.367 0.960 0.272
C6 0.867 0.540 0.728
C7 0.133 0.040 0.772
C8 0.633 0.460 0.228
O1 0.994 0.115 0.301
O2 0.494 0.385 0.699
O3 0.506 0.885 0.801
O4 0.006 0.615 0.199
O5 0.516 0.900 0.199
O6 0.016 0.600 0.801
O7 0.984 0.100 0.699
O8 0.484 0.400 0.301
O9 0.711 0.194 0.494
O10 0.211 0.306 0.506
O11 0.789 0.806 0.994
O12 0.289 0.694 0.006
O13 0.133 0.098 0.116
O14 0.633 0.402 0.884
O15 0.367 0.902 0.616
O16 0.867 0.598 0.384
O17 0.386 0.942 0.385
O18 0.886 0.558 0.615
O19 0.114 0.058 0.885
O20 0.614 0.442 0.115

Values from the calculation:
Size of the total moment in μB/atom: 0.000
Total energy in eV/f.u.: -63.78
Mass density in g/cm³: 3.7



# 3
Material: Si6Sb2H36C12O3
Method: DFT, GGA-PBEsol
State: optimized geometry

abc: 9.846 9.862 16.451
angles: 92.59 90.21 119.48
Fractional coordinates of all 118 atoms:
Si1 0.566 0.263 0.860
Si2 0.434 0.737 0.140
Si3 0.126 0.972 0.837
Si4 0.874 0.028 0.163
Si5 0.276 0.413 0.825
Si6 0.724 0.587 0.175
Si7 0.567 0.171 0.672
Si8 0.433 0.829 0.328
Si9 0.130 0.979 0.644
Si10 0.870 0.021 0.356
Si11 0.380 0.419 0.642
Si12 0.620 0.581 0.358
Sb1 0.309 0.228 0.920
Sb2 0.691 0.772 0.080
Sb3 0.371 0.177 0.569
Sb4 0.629 0.823 0.431
H1 0.840 0.472 0.881
H2 0.160 0.528 0.119
H3 0.714 0.555 0.873
H4 0.286 0.445 0.127
H5 0.726 0.474 0.965
H6 0.274 0.526 0.035
H7 0.518 0.991 0.876
H8 0.482 0.009 0.124
H9 0.721 0.131 0.882
H10 0.279 0.869 0.118
H11 0.603 0.112 0.967
H12 0.397 0.888 0.033
H13 0.063 0.699 0.855
H14 0.937 0.301 0.145
H15 0.264 0.831 0.881
H16 0.736 0.169 0.119
H17 0.118 0.811 0.950
H18 0.882 0.189 0.050
H19 0.900 0.021 0.819
H20 0.100 0.979 0.181
H21 0.841 0.818 0.809
H22 0.159 0.182 0.191
H23 0.881 0.915 0.908
H24 0.119 0.085 0.092
H25 0.422 0.650 0.917
H26 0.578 0.350 0.083
H27 0.547 0.640 0.843
H28 0.453 0.360 0.157
H29 0.408 0.699 0.815
H30 0.592 0.301 0.185
H31 0.064 0.416 0.906
H32 0.936 0.584 0.094
H33 0.060 0.469 0.803
H34 0.940 0.531 0.197
H35 0.984 0.269 0.825
H36 0.016 0.731 0.175
H37 0.795 0.404 0.617
H38 0.205 0.596 0.383
H39 0.855 0.288 0.671
H40 0.145 0.712 0.329
H41 0.771 0.226 0.570
H42 0.229 0.774 0.430
H43 0.521 0.908 0.626
H44 0.479 0.092 0.374
H45 0.604 0.961 0.727
H46 0.396 0.039 0.273
H47 0.401 0.897 0.710
H48 0.599 0.103 0.290
H49 0.158 0.749 0.598
H50 0.842 0.251 0.402
H51 0.962 0.692 0.624
H52 0.038 0.308 0.376
H53 0.036 0.779 0.529
H54 0.964 0.221 0.471
H55 0.939 0.028 0.571
H56 0.061 0.972 0.429
H57 0.863 0.940 0.664
H58 0.137 0.060 0.336
H59 0.005 0.144 0.665
H60 0.995 0.856 0.335
H61 0.157 0.405 0.561
H62 0.843 0.595 0.439
H63 0.280 0.595 0.607
H64 0.720 0.405 0.393
H65 0.342 0.533 0.518
H66 0.658 0.467 0.482
H67 0.650 0.609 0.605
H68 0.350 0.391 0.395
H69 0.590 0.681 0.691
H70 0.410 0.319 0.309
H71 0.648 0.536 0.704
H72 0.352 0.464 0.296
C1 0.726 0.459 0.898
C2 0.274 0.541 0.102
C3 0.604 0.109 0.900
C4 0.396 0.891 0.100
C5 0.145 0.814 0.885
C6 0.855 0.186 0.115
C7 0.918 0.929 0.844
C8 0.082 0.071 0.156
C9 0.427 0.619 0.853
C10 0.573 0.381 0.147
C11 0.077 0.389 0.842
C12 0.923 0.611 0.158
C13 0.766 0.283 0.629
C14 0.234 0.717 0.371
C15 0.518 0.964 0.685
C16 0.482 0.036 0.315
C17 0.066 0.781 0.594
C18 0.934 0.219 0.406
C19 0.969 0.028 0.636
C20 0.031 0.972 0.364
C21 0.280 0.494 0.576
C22 0.720 0.506 0.424
C23 0.587 0.575 0.663
C24 0.413 0.425 0.337
O1 0.570 0.259 0.760
O2 0.430 0.741 0.240
O3 0.171 0.970 0.741
O4 0.829 0.030 0.259
O5 0.283 0.372 0.728
O6 0.717 0.628 0.272

Values from the calculation:
Size of the total moment in μB/atom: 0.000
Total energy in eV/f.u.: -314.52
Mass density in g/cm³: 1.5



# 4
Material: SmH3C3O6
Method: DFT, GGA-PBEsol
State: optimized geometry

abc: 3.983 6.194 6.194
angles: 115.54 102.38 102.38
Fractional coordinates of all 13 atoms:
H1 0.008 0.483 0.483
H2 0.525 0.000 0.517
H3 0.525 0.517 0.000
C1 0.772 0.461 0.000
C2 0.311 0.539 0.539
C3 0.772 0.000 0.461
Sm1 0.164 0.000 0.000
O1 0.501 0.748 0.748
O2 0.051 0.603 0.000
O3 0.051 0.000 0.603
O4 0.753 0.252 0.000
O5 0.753 0.000 0.252
O6 0.447 0.397 0.397

Values from the calculation:
Size of the total moment in μB/atom: 0.000
Total energy in eV/f.u.: -94.18
Mass density in g/cm³: 3.8



# 5
Material: SrH6C2O6
Method: DFT, GGA-PBEsol
State: optimized geometry

abc: 7.021 7.323 11.887
angles: 90.00 90.00 90.00
Fractional coordinates of all 60 atoms:
Sr1 0.294 0.240 0.571
Sr2 0.794 0.260 0.429
Sr3 0.706 0.740 0.929
Sr4 0.206 0.760 0.071
H1 0.383 0.067 0.332
H2 0.883 0.433 0.668
H3 0.617 0.567 0.168
H4 0.117 0.933 0.832
H5 0.516 0.957 0.417
H6 0.016 0.543 0.583
H7 0.484 0.457 0.083
H8 0.984 0.043 0.917
H9 0.199 0.877 0.665
H10 0.699 0.623 0.335
H11 0.801 0.377 0.835
H12 0.301 0.123 0.165
H13 0.386 0.947 0.738
H14 0.886 0.553 0.262
H15 0.614 0.447 0.762
H16 0.114 0.053 0.238
H17 0.952 0.786 0.424
H18 0.452 0.714 0.576
H19 0.048 0.286 0.076
H20 0.548 0.214 0.924
H21 0.866 0.019 0.692
H22 0.366 0.481 0.308
H23 0.134 0.519 0.808
H24 0.634 0.981 0.192
C1 0.707 0.023 0.686
C2 0.207 0.477 0.314
C3 0.293 0.523 0.814
C4 0.793 0.977 0.186
C5 0.028 0.852 0.495
C6 0.528 0.648 0.505
C7 0.972 0.352 0.005
C8 0.472 0.148 0.995
O1 0.635 0.119 0.609
O2 0.135 0.381 0.391
O3 0.365 0.619 0.891
O4 0.865 0.881 0.109
O5 0.615 0.928 0.757
O6 0.115 0.572 0.243
O7 0.385 0.428 0.743
O8 0.885 0.072 0.257
O9 0.036 0.024 0.497
O10 0.536 0.476 0.503
O11 0.964 0.524 0.003
O12 0.464 0.976 0.997
O13 0.101 0.748 0.569
O14 0.601 0.752 0.431
O15 0.899 0.248 0.931
O16 0.399 0.252 0.069
O17 0.468 0.084 0.400
O18 0.968 0.416 0.600
O19 0.532 0.584 0.100
O20 0.032 0.916 0.900
O21 0.248 0.974 0.719
O22 0.748 0.526 0.281
O23 0.752 0.474 0.781
O24 0.252 0.026 0.219

Values from the calculation:
Size of the total moment in μB/atom: 0.000
Total energy in eV/f.u.: -92.21
Mass density in g/cm³: 2.3



# 6
Material: SrH3C3O7
Method: DFT, GGA-PBEsol
State: optimized geometry

abc: 5.680 6.377 16.867
angles: 90.00 90.00 97.78
Fractional coordinates of all 56 atoms:
Sr1 0.767 0.620 0.081
Sr2 0.267 0.120 0.419
Sr3 0.233 0.380 0.919
Sr4 0.733 0.880 0.581
H1 0.465 0.714 0.432
H2 0.965 0.214 0.068
H3 0.535 0.286 0.568
H4 0.035 0.786 0.932
H5 0.695 0.871 0.396
H6 0.195 0.371 0.104
H7 0.305 0.129 0.604
H8 0.805 0.629 0.896
H9 0.010 0.358 0.254
H10 0.510 0.858 0.246
H11 0.990 0.642 0.746
H12 0.490 0.142 0.754
C1 0.918 0.867 0.263
C2 0.418 0.367 0.237
C3 0.082 0.133 0.737
C4 0.582 0.633 0.763
C5 0.405 0.915 0.982
C6 0.905 0.415 0.518
C7 0.595 0.085 0.018
C8 0.095 0.585 0.482
C9 0.158 0.846 0.222
C10 0.658 0.346 0.278
C11 0.842 0.154 0.778
C12 0.342 0.654 0.722
O1 0.339 0.884 0.270
O2 0.839 0.384 0.230
O3 0.661 0.116 0.730
O4 0.161 0.616 0.770
O5 0.736 0.824 0.219
O6 0.236 0.324 0.281
O7 0.264 0.176 0.781
O8 0.764 0.676 0.719
O9 0.932 0.643 0.937
O10 0.432 0.143 0.563
O11 0.068 0.357 0.063
O12 0.568 0.857 0.437
O13 0.431 0.723 0.992
O14 0.931 0.223 0.508
O15 0.569 0.277 0.008
O16 0.069 0.777 0.492
O17 0.923 0.922 0.334
O18 0.423 0.422 0.166
O19 0.077 0.078 0.666
O20 0.577 0.578 0.834
O21 0.237 0.982 0.945
O22 0.737 0.482 0.555
O23 0.763 0.018 0.055
O24 0.263 0.518 0.445
O25 0.164 0.795 0.152
O26 0.664 0.295 0.348
O27 0.836 0.205 0.848
O28 0.336 0.705 0.652

Values from the calculation:
Size of the total moment in μB/atom: 0.000
Total energy in eV/f.u.: -97.96
Mass density in g/cm³: 2.6